An optimized crystal structure of GdPuHgPt. Source: Alexandria via LeMat-Bulk, functional PBE.

Cell and atoms, written as POSCAR:
```
GdPuHgPt
1.0
5.142 0.000 0.000
2.571 4.453 0.000
2.571 1.484 4.198
Gd Hg Pt Pu
1 1 1 1
direct
0.500 0.500 0.500
0.250 0.250 0.250
0.750 0.750 0.750
0.000 0.000 0.000
```

Its magnetization is 12.7 Bohr magnetons per cell. The uncorrected energy comes out at -9.25 eV per atom. As for the formation energy: -562 meV/atom. Its space group is F-43m (216). As for the crystal system: cubic.


An optimized crystal structure of SmGdHgPt. Source: Alexandria via LeMat-Bulk, functional PBE.

Cell and atoms, written as POSCAR:
```
SmGdHgPt
1.0
-4.456 -1.837 1.860
-2.429 -3.848 -2.445
-0.169 -4.708 2.120
Hg Gd Sm Pt
1 1 1 1
direct
0.250 0.250 0.250
0.000 0.000 0.000
0.500 0.500 0.500
0.750 0.750 0.750
```

Its magnetization is 7.1 Bohr magnetons per cell. The uncorrected energy comes out at -7.06 eV per atom. As for the formation energy: -772 meV/atom. Its space group is F-43m (216). As for the crystal system: cubic.


An optimized crystal structure of TbGdHgPt. Source: Alexandria via LeMat-Bulk, functional PBE.

Cell and atoms, written as POSCAR:
```
TbGdHgPt
1.0
-1.104 3.646 3.430
2.207 -0.080 4.626
3.520 3.520 1.222
Hg Pt Gd Tb
1 1 1 1
direct
0.250 0.250 0.250
0.750 0.750 0.750
0.000 0.000 0.000
0.500 0.500 0.500
```

Its magnetization is 7.1 Bohr magnetons per cell. The uncorrected energy comes out at -7.06 eV per atom. As for the formation energy: -798 meV/atom. Its space group is F-43m (216). As for the crystal system: cubic.


An optimized crystal structure of GdTlHgPt. Source: Alexandria via LeMat-Bulk, functional PBE.

Cell and atoms, written as POSCAR:
```
GdTlHgPt
1.0
5.051 0.000 0.000
2.526 4.374 0.000
2.526 1.458 4.124
Pt Gd Tl Hg
1 1 1 1
direct
0.750 0.750 0.750
0.500 0.500 0.500
0.000 0.000 0.000
0.250 0.250 0.250
```

Its magnetization is 7.2 Bohr magnetons per cell. The uncorrected energy comes out at -6.18 eV per atom. As for the formation energy: -483 meV/atom. Its space group is F-43m (216). As for the crystal system: cubic.


An optimized crystal structure of GdZnHgPt. Source: Alexandria via LeMat-Bulk, functional PBE.

Cell and atoms, written as POSCAR:
```
GdZnHgPt
1.0
-1.847 -3.059 3.317
-1.838 -4.293 -1.399
2.353 -4.130 1.086
Pt Gd Zn Hg
1 1 1 1
direct
0.750 0.750 0.750
0.500 0.500 0.500
0.000 0.000 0.000
0.250 0.250 0.250
```

Its magnetization is 7.2 Bohr magnetons per cell. The uncorrected energy comes out at -5.95 eV per atom. As for the formation energy: -530 meV/atom. Its space group is F-43m (216). As for the crystal system: cubic.


An optimized crystal structure of Gd2PuHg. Source: Alexandria via LeMat-Bulk, functional PBE.

Cell and atoms, written as POSCAR:
```
Gd2PuHg
1.0
-0.837 -2.477 -2.392
4.525 1.209 -2.835
2.798 -3.724 2.877
Hg Gd Pu
1 2 1
direct
0.500 0.000 0.000
0.000 0.000 0.500
0.000 0.500 0.000
0.500 0.500 0.500
```

Its magnetization is 8.4 Bohr magnetons per cell. The uncorrected energy comes out at -10.80 eV per atom. As for the formation energy: -98 meV/atom. The value obtained for the energy relative to the lowest polymorph listed for this composition is 0 meV per atom. Its space group is P4/mmm (123). As for the crystal system: tetragonal.


An optimized crystal structure of GdPuHg. Source: Alexandria via LeMat-Bulk, functional PBE.

Cell and atoms, written as POSCAR:
```
GdPuHg
1.0
3.405 0.000 0.000
0.000 5.257 0.000
0.000 -2.629 4.553
Gd Hg Pu
1 1 1
direct
0.701 0.333 0.667
0.006 0.000 0.000
0.293 0.667 0.333
```

Its magnetization is 13.2 Bohr magnetons per cell. The uncorrected energy comes out at -9.60 eV per atom. As for the formation energy: -25 meV/atom. The value obtained for the energy relative to the lowest polymorph listed for this composition is 100 meV per atom. Its space group is P3m1 (156). As for the crystal system: trigonal.


An optimized crystal structure of GdPuHg. Source: Alexandria via LeMat-Bulk, functional PBE.

Cell and atoms, written as POSCAR:
```
GdPuHg
1.0
3.647 0.000 0.000
0.000 3.647 0.000
-1.824 -1.824 6.339
Pu Gd Hg
1 1 1
direct
0.294 0.294 0.588
0.603 0.603 0.206
0.953 0.953 0.906
```

Its magnetization is 13.9 Bohr magnetons per cell. The uncorrected energy comes out at -9.70 eV per atom. As for the formation energy: -125 meV/atom. The value obtained for the energy relative to the lowest polymorph listed for this composition is 0 meV per atom. Its space group is I4mm (107). As for the crystal system: tetragonal.


An optimized crystal structure of GdPu2Hg. Source: Alexandria via LeMat-Bulk, functional PBE.

Cell and atoms, written as POSCAR:
```
GdPu2Hg
1.0
3.439 0.000 0.000
1.719 2.978 0.000
1.719 0.993 11.092
Pu Hg Gd
2 1 1
direct
0.745 0.745 0.764
0.255 0.255 0.236
0.000 0.000 0.000
0.500 0.500 0.500
```

Its magnetization is 19.3 Bohr magnetons per cell. The uncorrected energy comes out at -10.63 eV per atom. As for the formation energy: 128 meV/atom. Its space group is R-3m (166). As for the crystal system: trigonal.


An optimized crystal structure of Gd2PuHg. Source: Alexandria via LeMat-Bulk, functional PBE.

Cell and atoms, written as POSCAR:
```
Gd2PuHg
1.0
-2.653 2.821 3.715
-2.057 -2.481 4.291
2.176 0.771 4.845
Pu Hg Gd
1 1 2
direct
0.000 0.000 0.000
0.500 0.500 0.500
0.250 0.250 0.250
0.750 0.750 0.750
```

Its magnetization is 8.2 Bohr magnetons per cell. The uncorrected energy comes out at -10.69 eV per atom. As for the formation energy: 13 meV/atom. The value obtained for the energy relative to the lowest polymorph listed for this composition is 111 meV per atom. Its space group is Fm-3m (225). As for the crystal system: cubic.


An optimized crystal structure of GdPuHgRh. Source: Alexandria via LeMat-Bulk, functional PBE.

Cell and atoms, written as POSCAR:
```
GdPuHgRh
1.0
-3.903 -0.503 -3.246
-0.527 -4.289 -2.711
-3.798 -3.237 1.060
Rh Pu Hg Gd
1 1 1 1
direct
0.000 0.000 0.000
0.750 0.750 0.750
0.500 0.500 0.500
0.250 0.250 0.250
```

Its magnetization is 12.6 Bohr magnetons per cell. The uncorrected energy comes out at -9.36 eV per atom. As for the formation energy: -344 meV/atom. Its space group is F-43m (216). As for the crystal system: cubic.


An optimized crystal structure of GdPuHgRu. Source: Alexandria via LeMat-Bulk, functional PBE.

Cell and atoms, written as POSCAR:
```
GdPuHgRu
1.0
5.080 0.000 0.000
2.540 4.400 0.000
2.540 1.467 4.148
Ru Hg Gd Pu
1 1 1 1
direct
0.500 0.500 0.500
0.000 0.000 0.000
0.250 0.250 0.250
0.750 0.750 0.750
```

Its magnetization is 1.7 Bohr magnetons per cell. The uncorrected energy comes out at -9.61 eV per atom. As for the formation energy: -112 meV/atom. Its space group is F-43m (216). As for the crystal system: cubic.